# Y3Ag (PBEsol, relaxed)
# Energy of formation: -0.1352 eV per atom
# Excess energy over the best structure of this formula in the dataset: 5 meV per atom
# Total magnetic moment: 0.0 μB/f.u.
# Total DFT energy (no corrections): -24.319 eV/cell
# D(E_F): 5.8 states/eV per cell
data_Y3Ag
_chemical_formula_sum 'Y3 Ag1'
_cell_length_a 3.5230
_cell_length_b 3.5230
_cell_length_c 8.7179
_cell_angle_alpha 90.00
_cell_angle_beta 90.00
_cell_angle_gamma 90.00
_symmetry_space_group_name_H-M 'P 4/m m m'
_symmetry_Int_Tables_number 123
_symmetry_space_group_name_Hall '-P 4 2'
loop_
_atom_site_label
_atom_site_fract_x
_atom_site_fract_y
_atom_site_fract_z
Y1 0.0000 0.0000 0.0000
Y2 0.5000 0.5000 0.2887
Ag1 0.0000 0.0000 0.5000